A relaxed structure of ReP2WO, computed with GGA+U.

## Properties
Polymorph energy (0 for the lowest one): 0.000 eV per atom
Total DFT energy (no corrections): -34.084 eV/cell

Unit cell a=4.819 b=4.819 c=3.696 alpha=90.00 beta=90.00 gamma=90.00
Fractional positions:
1 Re 0.000 0.000 0.000
2 P 0.000 0.500 0.000
3 P 0.500 0.000 0.000
4 W 0.500 0.500 0.500
5 O 0.000 0.000 0.500